--- i ---
Compound: Na3TiZn
Source: Alexandria
Functional: PBE-GGA
Structure: relaxed

Values from the calculation:
N(E_F) (states/eV/f.u.): 15.011
Crystal system: cubic
Space-group type: Pm-3m (221)
Total magnetization (μB per formula unit): 3.687

Unit cell a=6.0786 b=6.0786 c=6.0786 alpha=90.00 beta=90.00 gamma=90.00
Site moments in Bohr magnetons follow the coordinates.
Atoms (fractional coordinates):
Ti 0.0000 0.0000 0.0000  2.21
Na 0.5000 0.0000 0.0000  0.04
Na 0.0000 0.0000 0.5000  0.02
Na 0.0000 0.5000 0.0000  0.03
Zn 0.5000 0.5000 0.5000  0.01

--- ii ---
Compound: Na3TiZn
Source: Alexandria
Functional: PBE-GGA
Structure: relaxed

Values from the calculation:
N(E_F) (states/eV/f.u.): 13.572
Crystal system: cubic
Space-group type: Pm-3m (221)
Total magnetization (μB per formula unit): 0.082

Unit cell a=5.4336 b=5.4336 c=5.4336 alpha=90.00 beta=90.00 gamma=90.00
Site moments in Bohr magnetons follow the coordinates.
Atoms (fractional coordinates):
Zn 0.0000 0.0000 0.0000  0.03
Ti 0.5000 0.5000 0.5000  -0.11
Na 0.5000 0.0000 0.0000  0.01
Na 0.0000 0.0000 0.5000  0.01
Na 0.0000 0.5000 0.0000  0.01

ii (165 meV per atom below the next structure)

--- i ---
Compound: NaZr2Ti2
Source: Alexandria
Functional: PBE-GGA
Structure: relaxed

Values from the calculation:
N(E_F) (states/eV/f.u.): 8.729
Crystal system: tetragonal
Space-group type: P4/mbm (127)
Total magnetization (μB per formula unit): 0.000

Unit cell a=8.4738 b=8.4738 c=3.1058 alpha=90.00 beta=90.00 gamma=90.00
Atoms (fractional coordinates):
Ti 0.3870 0.8870 0.0000
Ti 0.6130 0.1130 0.0000
Ti 0.1130 0.3870 0.0000
Ti 0.8870 0.6130 0.0000
Zr 0.3215 0.1785 0.5000
Zr 0.1785 0.6785 0.5000
Zr 0.6785 0.8215 0.5000
Zr 0.8215 0.3215 0.5000
Na 0.0000 0.0000 0.0000
Na 0.5000 0.5000 0.0000

--- ii ---
Compound: NaZr2Ti2
Source: Alexandria
Functional: PBE-GGA
Structure: relaxed

Values from the calculation:
N(E_F) (states/eV/f.u.): 6.073
Crystal system: tetragonal
Space-group type: P4/mbm (127)
Total magnetization (μB per formula unit): 0.000

Unit cell a=8.5348 b=8.5348 c=3.0840 alpha=90.00 beta=90.00 gamma=90.00
Atoms (fractional coordinates):
Na 0.5000 0.5000 0.0000
Na 0.0000 0.0000 0.0000
Ti 0.3613 0.1387 0.5000
Ti 0.6387 0.8613 0.5000
Ti 0.1387 0.6387 0.5000
Ti 0.8613 0.3613 0.5000
Zr 0.1461 0.3539 0.0000
Zr 0.6461 0.1461 0.0000
Zr 0.3539 0.8539 0.0000
Zr 0.8539 0.6461 0.0000

i (60 meV per atom below the next structure)

--- i ---
Compound: NaZrTi3
Source: Alexandria
Functional: PBE-GGA
Structure: relaxed

Values from the calculation:
N(E_F) (states/eV/f.u.): 10.774
Crystal system: cubic
Space-group type: Pm-3m (221)
Total magnetization (μB per formula unit): 1.556

Unit cell a=4.9774 b=4.9774 c=4.9774 alpha=90.00 beta=90.00 gamma=90.00
Site moments in Bohr magnetons follow the coordinates.
Atoms (fractional coordinates):
Na 0.5000 0.5000 0.5000  0.00
Ti 0.5000 0.0000 0.0000  0.52
Ti 0.0000 0.5000 0.0000  0.40
Ti 0.0000 0.0000 0.5000  0.24
Zr 0.0000 0.0000 0.0000  0.00

--- ii ---
Compound: NaZrTi3
Source: Alexandria
Functional: PBE-GGA
Structure: relaxed

Values from the calculation:
N(E_F) (states/eV/f.u.): 11.391
Crystal system: cubic
Space-group type: Pm-3m (221)
Total magnetization (μB per formula unit): 0.000

Unit cell a=4.7089 b=4.7089 c=4.7089 alpha=90.00 beta=90.00 gamma=90.00
Atoms (fractional coordinates):
Zr 0.5000 0.5000 0.5000
Ti 0.5000 0.0000 0.0000
Ti 0.0000 0.0000 0.5000
Ti 0.0000 0.5000 0.0000
Na 0.0000 0.0000 0.0000

i (252 meV per atom below the next structure)